A plane-wave DFT calculation with PBE-GGA was carried out for a relaxed structure of MgCd3Rh.

Polymorph energy (0 for the lowest one)   0.117 eV per atom
Total magnetic moment   0.000 μB/cell
Final energy   -12.0 eV/f.u.
Energy relative to the elements   -0.060 eV per atom
Calculated volume   229.93 Å³ per cell

abc: 6.6463 6.6463 6.8023
angles: 105.66 118.07 104.01
Fractional positions:
Mg 0.7057 0.0626 0.7683
Mg 0.2943 0.9374 0.2317
Cd 0.8578 0.0796 0.2998
Cd 0.2203 0.4420 0.2998
Cd 0.7797 0.5580 0.7002
Cd 0.7045 0.4283 0.1328
Cd 0.1422 0.9204 0.7002
Cd 0.2955 0.5717 0.8672
Rh 0.6213 0.7572 0.3785
Rh 0.3787 0.2428 0.6215